## PWIO2 (PBE with a Hubbard U)

Data for PWIO2 after structural relaxation.

Lattice parameters (Å, degrees): 3.888 3.888 7.863 90.00 90.00 90.00
Atoms (fractional coordinates):
P  0.000  0.000  0.000
W  0.500  0.500  0.500
I  0.500  0.500  0.000
O  0.000  0.500  0.500
O  0.500  0.000  0.500

Results
Symmetry: P4/mmm (123)
Energy above the lowest structure with this stoichiometry (meV per atom): 239
V (Å³ per atom): 23.8